Record 1
The following is a PBE calculation of a relaxed structure of TbY3B2Pb2, from OQMD.

Cell: 3.703 3.703 16.728 Å, 90.00 90.00 120.00°
Sites, in units of the cell vectors:
Tb 0.000 0.000 0.000
Y 0.000 0.000 0.320
Y 0.333 0.667 0.500
Y 0.333 0.667 0.820
B 0.667 0.333 0.410
B 0.667 0.333 0.910
Pb 0.000 0.000 0.660
Pb 0.333 0.667 0.161

Summary:
* calculated total energy: -46.53 eV per formula unit



Record 2
The following is a PBE calculation of a relaxed structure of Mg2Sc2Cd2CuHg, from OQMD.

Cell: 4.828 4.828 6.814 Å, 90.00 90.00 90.00°
Sites, in units of the cell vectors:
Mg 0.000 0.500 0.238
Mg 0.500 0.000 0.762
Sc 0.000 0.500 0.761
Sc 0.500 0.000 0.239
Cd 0.000 0.000 0.000
Cd 0.500 0.500 0.500
Cu 0.500 0.500 0.000
Hg 0.000 0.000 0.500

Summary:
* calculated total energy: -23.71 eV per formula unit



Record 3
The following is a PBE calculation of a relaxed structure of LuNbNiB, from OQMD.

Cell: 4.430 4.430 4.430 Å, 60.00 60.00 60.00°
Sites, in units of the cell vectors:
Lu 0.000 0.000 0.000
Nb 0.750 0.750 0.750
Ni 0.500 0.500 0.500
B 0.250 0.250 0.250

Summary:
* calculated total energy: -23.72 eV per formula unit



Record 4
The following is a PBE calculation of a relaxed structure of Dy2Al4NiPt, from OQMD.

Cell: 6.927 9.860 9.860 Å, 18.77 90.00 90.00°
Sites, in units of the cell vectors:
Dy 0.000 0.000 0.000
Dy 0.000 0.334 0.334
Al 0.290 0.607 0.607
Al 0.324 0.451 0.451
Al 0.676 0.451 0.451
Al 0.710 0.607 0.607
Ni 0.000 0.733 0.733
Pt 0.000 0.139 0.139

Summary:
* calculated total energy: -34.61 eV per formula unit



Record 5
The following is a PBE calculation of a relaxed structure of DyTaN2O, from OQMD.

Cell: 7.878 7.889 7.924 Å, 89.98 87.97 89.89°
Sites, in units of the cell vectors:
Dy 0.019 0.252 0.038
Dy 0.037 0.249 0.518
Dy 0.455 0.750 0.981
Dy 0.477 0.752 0.470
Dy 0.523 0.248 0.530
Dy 0.545 0.250 0.019
Dy 0.963 0.751 0.482
Dy 0.981 0.748 0.962
Ta 0.238 0.494 0.755
Ta 0.249 0.491 0.258
Ta 0.254 0.013 0.755
Ta 0.261 0.009 0.242
Ta 0.739 0.991 0.758
Ta 0.746 0.987 0.245
Ta 0.751 0.509 0.742
Ta 0.762 0.506 0.245
N 0.000 0.445 0.299
N 0.000 0.555 0.701
N 0.176 0.249 0.786
N 0.198 0.939 0.003
N 0.210 0.558 0.000
N 0.290 0.048 0.502
N 0.292 0.252 0.186
N 0.305 0.449 0.500
N 0.499 0.056 0.799
N 0.501 0.944 0.201
N 0.695 0.551 0.500
N 0.708 0.748 0.814
N 0.710 0.952 0.498
N 0.790 0.442 0.000
N 0.802 0.061 0.997
N 0.824 0.751 0.214
O 0.002 0.931 0.704
O 0.212 0.752 0.327
O 0.329 0.746 0.717
O 0.499 0.570 0.204
O 0.501 0.430 0.796
O 0.671 0.254 0.283
O 0.788 0.248 0.673
O 0.998 0.069 0.296

Summary:
* calculated total energy: -47.93 eV per formula unit



Record 6
The following is a PBE calculation of a relaxed structure of OsPdAu, from OQMD.

Cell: 4.316 4.316 4.316 Å, 60.00 60.00 60.00°
Sites, in units of the cell vectors:
Os 0.000 0.000 0.000
Pd 0.250 0.250 0.250
Au 0.750 0.750 0.750

Summary:
* E_form: 286.8 kJ/mol of formula units
* calculated total energy: -16.70 eV per formula unit



Record 7
The following is a PBE calculation of a relaxed structure of CdSn, from OQMD.

Cell: 3.292 3.292 5.368 Å, 90.00 90.00 120.00°
Sites, in units of the cell vectors:
Cd 0.000 0.000 0.000
Sn 0.667 0.333 0.500

Summary:
* calculated total energy: -4.76 eV per formula unit



Record 8
The following is a PBE calculation of a relaxed structure of LiHfAgO3, from OQMD.

Cell: 10.793 3.141 8.892 Å, 90.00 90.00 90.00°
Sites, in units of the cell vectors:
Li 0.215 0.250 0.159
Li 0.285 0.750 0.659
Li 0.715 0.250 0.341
Li 0.785 0.750 0.841
Hf 0.046 0.250 0.841
Hf 0.454 0.750 0.341
Hf 0.546 0.250 0.659
Hf 0.954 0.750 0.159
Ag 0.117 0.250 0.477
Ag 0.383 0.750 0.977
Ag 0.617 0.250 0.023
Ag 0.883 0.750 0.523
O 0.055 0.250 0.253
O 0.105 0.750 0.980
O 0.186 0.250 0.699
O 0.314 0.750 0.199
O 0.395 0.250 0.480
O 0.445 0.750 0.753
O 0.555 0.250 0.247
O 0.605 0.750 0.520
O 0.686 0.250 0.801
O 0.814 0.750 0.301
O 0.895 0.250 0.020
O 0.945 0.750 0.747

Summary:
* calculated total energy: -43.11 eV per formula unit



Record 9
The following is a PBE calculation of a relaxed structure of RbIrAu3S4, from OQMD.

Cell: 6.316 6.316 6.316 Å, 90.00 90.00 90.00°
Sites, in units of the cell vectors:
Rb 0.000 0.000 0.000
Ir 0.500 0.500 0.500
Au 0.000 0.500 0.500
Au 0.500 0.000 0.500
Au 0.500 0.500 0.000
S 0.293 0.293 0.293
S 0.293 0.707 0.707
S 0.707 0.293 0.707
S 0.707 0.707 0.293

Summary:
* calculated total energy: -35.75 eV per formula unit



Record 10
The following is a PBE calculation of a relaxed structure of KLuO3, from OQMD.

Cell: 5.773 10.357 5.756 Å, 90.00 90.00 90.00°
Sites, in units of the cell vectors:
K 0.000 0.000 0.000
K 0.000 0.500 0.000
K 0.500 0.000 0.500
K 0.500 0.500 0.500
Lu 0.020 0.250 0.460
Lu 0.480 0.750 0.960
Lu 0.520 0.250 0.040
Lu 0.980 0.750 0.540
O 0.217 0.750 0.239
O 0.238 0.642 0.739
O 0.238 0.858 0.739
O 0.262 0.142 0.239
O 0.262 0.358 0.239
O 0.283 0.250 0.739
O 0.717 0.750 0.261
O 0.738 0.642 0.761
O 0.738 0.858 0.761
O 0.762 0.142 0.261
O 0.762 0.358 0.261
O 0.783 0.250 0.761

Summary:
* calculated total energy: -29.69 eV per formula unit